Computed, not measured: a geometry-optimized Cu3Pt structure at the GGA-PBE level of DFT.

Computed properties:
Space group: No. 65
Calculated formation energy, eV per atom: -0.129

a b c (Å): 3.6867 5.2745 5.9483
angles (deg): 116.32 90.00 90.00
Element x y z (fractional)
Pt  0.5000  0.6215  0.7430
Cu  0.5000  0.1276  0.7552
Cu  0.0000  0.4934  0.0000
Cu  0.0000  0.7500  0.5000
Cu  0.0000  0.2500  0.5000
Cu  0.5000  0.3724  0.2448
Cu  0.0000  0.0066  0.0000
Pt  0.5000  0.8785  0.2570